Entry 1:
{"formula": "Pa2Zn2CoSi4", "functional": "PBE-GGA", "state": "relaxed", "vol_a3_per_atom": 16.6, "formation_energy_uncorrected_ev_per_atom": -0.3888, "cell": [[-2.9866, 2.9866, 4.1964], [2.9866, -2.9866, 4.1964], [2.9866, 2.9866, -4.1964]], "species": ["Pa", "Pa", "Zn", "Zn", "Co", "Si", "Si", "Si", "Si"], "frac_coords": [[0.2500, 0.7500, 0.5000], [0.7500, 0.2500, 0.5000], [0.2112, 0.2112, 0.0000], [0.7888, 0.7888, 0.0000], [0.5000, 0.5000, 0.0000], [0.2264, 0.2264, 0.4529], [0.2264, 0.7736, 0.0000], [0.7736, 0.2264, 0.0000], [0.7736, 0.7736, 0.5471]]}

Entry 2:
{"formula": "Pa2ZnCo6Si", "functional": "PBE-GGA", "state": "relaxed", "vol_a3_per_atom": 15.5, "formation_energy_uncorrected_ev_per_atom": 0.1735, "cell": [[0.0000, 4.2625, 4.2625], [4.2625, 0.0000, 4.2625], [4.2625, 4.2625, 0.0000]], "species": ["Pa", "Pa", "Zn", "Co", "Co", "Co", "Co", "Co", "Co", "Si"], "frac_coords": [[0.2500, 0.2500, 0.2500], [0.7500, 0.7500, 0.7500], [0.0000, 0.0000, 0.0000], [0.2561, 0.2561, 0.7439], [0.2561, 0.7439, 0.2561], [0.2561, 0.7439, 0.7439], [0.7439, 0.2561, 0.2561], [0.7439, 0.2561, 0.7439], [0.7439, 0.7439, 0.2561], [0.5000, 0.5000, 0.5000]]}

Entry 3:
{"formula": "Pa2ZnCo4Si3", "functional": "PBE-GGA", "state": "relaxed", "vol_a3_per_atom": 14.8, "formation_energy_uncorrected_ev_per_atom": -0.6449, "cell": [[3.8791, 0.0000, 0.0000], [0.0000, 3.8791, 0.0000], [0.0000, 0.0000, 9.8403]], "species": ["Pa", "Pa", "Zn", "Co", "Co", "Co", "Co", "Si", "Si", "Si"], "frac_coords": [[0.0000, 0.5000, 0.2493], [0.5000, 0.0000, 0.7507], [0.0000, 0.0000, 0.5000], [0.0000, 0.0000, 0.0000], [0.0000, 0.5000, 0.6444], [0.5000, 0.0000, 0.3556], [0.5000, 0.5000, 0.0000], [0.0000, 0.5000, 0.8747], [0.5000, 0.0000, 0.1253], [0.5000, 0.5000, 0.5000]]}

Entry 4:
{"formula": "ZrPaCo5Si2", "functional": "PBE-GGA", "state": "relaxed", "vol_a3_per_atom": 13.7, "formation_energy_uncorrected_ev_per_atom": -0.5438, "cell": [[3.8190, 0.0000, 0.0000], [0.0000, 3.8190, 0.0000], [0.0000, 0.0000, 8.4586]], "species": ["Zr", "Pa", "Co", "Co", "Co", "Co", "Co", "Si", "Si"], "frac_coords": [[0.0000, 0.0000, 0.0000], [0.0000, 0.0000, 0.5000], [0.0000, 0.5000, 0.2761], [0.0000, 0.5000, 0.7239], [0.5000, 0.0000, 0.2761], [0.5000, 0.0000, 0.7239], [0.5000, 0.5000, 0.5000], [0.5000, 0.5000, 0.1393], [0.5000, 0.5000, 0.8607]]}

Entry 5:
{"formula": "SmPaCo", "functional": "PBE-GGA", "state": "relaxed", "vol_a3_per_atom": 23.7, "delta_e_f_ev_per_atom": -0.051, "cell": [[3.6126, 0.0000, 0.0000], [-1.8063, 3.1286, 0.0000], [0.0000, 0.0000, 6.2822]], "species": ["Sm", "Pa", "Co"], "frac_coords": [[0.0000, 0.0000, 0.0000], [0.6667, 0.3333, 0.4551], [0.3333, 0.6667, 0.6802]]}

Entry 6:
{"formula": "SmPaCo4", "functional": "PBE-GGA", "state": "relaxed", "vol_a3_per_atom": 14.9, "delta_e_f_ev_per_atom": -0.179, "cell": [[0.0000, 3.5485, 3.5485], [3.5485, 0.0000, 3.5485], [3.5485, 3.5485, 0.0000]], "species": ["Sm", "Pa", "Co", "Co", "Co", "Co"], "frac_coords": [[0.0000, 0.0000, 0.0000], [0.2500, 0.2500, 0.2500], [0.1260, 0.6247, 0.6247], [0.6247, 0.1260, 0.6247], [0.6247, 0.6247, 0.1260], [0.6247, 0.6247, 0.6247]]}

Entry 7:
{"formula": "Sm12PaCo7", "functional": "PBE-GGA", "state": "relaxed", "vol_a3_per_atom": 26.1, "delta_e_f_ev_per_atom": -0.113, "cell": [[7.1929, 4.1529, 2.9092], [-7.1929, 4.1529, 2.9092], [0.0000, -8.3057, 2.9092]], "species": ["Sm", "Sm", "Sm", "Sm", "Sm", "Sm", "Sm", "Sm", "Sm", "Sm", "Sm", "Sm", "Pa", "Co", "Co", "Co", "Co", "Co", "Co", "Co"], "frac_coords": [[0.0951, 0.2432, 0.6573], [0.1298, 0.4251, 0.3438], [0.2432, 0.6573, 0.0951], [0.3428, 0.9049, 0.7568], [0.3438, 0.1298, 0.4251], [0.4251, 0.3438, 0.1298], [0.5749, 0.6562, 0.8702], [0.6562, 0.8702, 0.5749], [0.6572, 0.0951, 0.2432], [0.7568, 0.3428, 0.9049], [0.8702, 0.5749, 0.6562], [0.9049, 0.7568, 0.3428], [0.0000, 0.0000, 0.0000], [0.0433, 0.2682, 0.9553], [0.0447, 0.9567, 0.7318], [0.2682, 0.9553, 0.0433], [0.5000, 0.5000, 0.5000], [0.7318, 0.0447, 0.9567], [0.9553, 0.0433, 0.2682], [0.9567, 0.7318, 0.0447]]}

Entry 8:
{"formula": "SmPaCo", "functional": "PBE-GGA", "state": "relaxed", "vol_a3_per_atom": 22.4, "delta_e_f_ev_per_atom": -0.128, "cell": [[3.4448, 0.0000, 0.0000], [0.0000, 3.4448, 0.0000], [0.0000, 0.0000, 11.3077]], "species": ["Sm", "Sm", "Pa", "Pa", "Co", "Co"], "frac_coords": [[0.0000, 0.0000, 0.0000], [0.5000, 0.5000, 0.5000], [0.0000, 0.0000, 0.2919], [0.5000, 0.5000, 0.7919], [0.0000, 0.0000, 0.7062], [0.5000, 0.5000, 0.2062]]}

Entry 9:
{"formula": "Sm4PaCo5", "functional": "PBE-GGA", "state": "relaxed", "vol_a3_per_atom": 20.8, "delta_e_f_ev_per_atom": -0.030, "cell": [[-4.6050, 4.6050, 2.4464], [4.6050, -4.6050, 2.4464], [4.6050, 4.6050, -2.4464]], "species": ["Sm", "Sm", "Sm", "Sm", "Pa", "Co", "Co", "Co", "Co", "Co"], "frac_coords": [[0.0000, 0.2872, 0.2872], [0.0000, 0.7128, 0.7128], [0.2872, 0.0000, 0.2872], [0.7128, 0.0000, 0.7128], [0.4070, 0.4070, 0.0000], [0.3400, 0.3400, 0.6378], [0.3400, 0.7023, 0.0000], [0.7023, 0.3400, 0.0000], [0.7023, 0.7023, 0.3622], [0.8866, 0.8866, 0.0000]]}

Entry 10:
{"formula": "SmPa2Co3", "functional": "PBE-GGA", "state": "relaxed", "vol_a3_per_atom": 20.2, "delta_e_f_ev_per_atom": -0.261, "cell": [[5.1002, -3.5052, 0.0000], [5.1002, 3.5052, 0.0000], [0.0000, 0.0000, 6.7635]], "species": ["Sm", "Sm", "Pa", "Pa", "Pa", "Pa", "Co", "Co", "Co", "Co", "Co", "Co"], "frac_coords": [[0.1297, 0.8703, 0.7500], [0.8703, 0.1297, 0.2500], [0.3173, 0.3173, 0.0000], [0.3173, 0.3173, 0.5000], [0.6827, 0.6827, 0.0000], [0.6827, 0.6827, 0.5000], [0.0046, 0.4034, 0.7500], [0.3839, 0.6161, 0.2500], [0.4034, 0.0046, 0.2500], [0.5966, 0.9954, 0.7500], [0.6161, 0.3839, 0.7500], [0.9954, 0.5966, 0.2500]]}

Entry 11:
{"formula": "Sm2Pa2Co3", "functional": "PBE-GGA", "state": "relaxed", "vol_a3_per_atom": 21.9, "delta_e_f_ev_per_atom": -0.242, "cell": [[3.6252, 0.0000, 0.0000], [1.7968, 6.2027, 0.0000], [1.7929, 0.7275, 6.8254]], "species": ["Sm", "Sm", "Pa", "Pa", "Co", "Co", "Co"], "frac_coords": [[0.0707, 0.2341, 0.1238], [0.9293, 0.7659, 0.8762], [0.3201, 0.2600, 0.6002], [0.6799, 0.7400, 0.3998], [0.0000, 0.0000, 0.5000], [0.3592, 0.5542, 0.2284], [0.6408, 0.4458, 0.7716]]}

Entry 12:
{"formula": "Sm3PaCo3", "functional": "PBE-GGA", "state": "relaxed", "vol_a3_per_atom": 22.3, "delta_e_f_ev_per_atom": -0.191, "cell": [[6.2791, -1.8787, 0.0000], [6.2791, 1.8787, 0.0000], [-6.2374, 0.0000, 13.2481]], "species": ["Sm", "Sm", "Sm", "Sm", "Sm", "Sm", "Pa", "Pa", "Co", "Co", "Co", "Co", "Co", "Co"], "frac_coords": [[0.0141, 0.0141, 0.1319], [0.0897, 0.0897, 0.4202], [0.2312, 0.2312, 0.6953], [0.7688, 0.7688, 0.3047], [0.9103, 0.9103, 0.5798], [0.9859, 0.9859, 0.8681], [0.2782, 0.2782, 0.1078], [0.7218, 0.7218, 0.8922], [0.3706, 0.3706, 0.9626], [0.4145, 0.4145, 0.4292], [0.4307, 0.4307, 0.2579], [0.5693, 0.5693, 0.7421], [0.5855, 0.5855, 0.5708], [0.6294, 0.6294, 0.0374]]}

Entry 13:
{"formula": "SmPaCo", "functional": "PBE-GGA", "state": "relaxed", "vol_a3_per_atom": 22.8, "delta_e_f_ev_per_atom": -0.177, "cell": [[6.9337, 0.0000, 0.0000], [0.0000, 6.0249, 0.0000], [-1.8527, 0.0000, 6.5519]], "species": ["Sm", "Sm", "Sm", "Sm", "Pa", "Pa", "Pa", "Pa", "Co", "Co", "Co", "Co"], "frac_coords": [[0.1511, 0.1430, 0.3611], [0.1511, 0.3570, 0.8611], [0.8489, 0.6430, 0.1389], [0.8489, 0.8570, 0.6389], [0.4068, 0.6497, 0.3100], [0.4068, 0.8503, 0.8100], [0.5932, 0.1497, 0.1900], [0.5932, 0.3503, 0.6900], [0.1784, 0.6329, 0.5141], [0.1784, 0.8671, 0.0141], [0.8216, 0.1329, 0.9859], [0.8216, 0.3671, 0.4859]]}

Entry 14:
{"formula": "Sm2PaCo", "functional": "PBE-GGA", "state": "relaxed", "vol_a3_per_atom": 25.6, "delta_e_f_ev_per_atom": 0.400, "cell": [[3.3659, 0.0000, 0.0000], [-1.6829, 2.9149, 0.0000], [0.0000, 0.0000, 31.2529]], "species": ["Sm", "Sm", "Sm", "Sm", "Sm", "Sm", "Pa", "Pa", "Pa", "Co", "Co", "Co"], "frac_coords": [[0.0000, 0.0000, 0.1063], [0.0000, 0.0000, 0.8937], [0.3333, 0.6667, 0.5604], [0.3333, 0.6667, 0.7729], [0.6667, 0.3333, 0.2271], [0.6667, 0.3333, 0.4396], [0.0000, 0.0000, 0.0000], [0.3333, 0.6667, 0.6667], [0.6667, 0.3333, 0.3333], [0.0000, 0.0000, 0.5000], [0.3333, 0.6667, 0.1667], [0.6667, 0.3333, 0.8333]]}

Entry 15:
{"formula": "TbSm2Pa2Co5", "functional": "PBE-GGA", "state": "relaxed", "vol_a3_per_atom": 19.6, "delta_e_f_ev_per_atom": -0.114, "cell": [[10.6079, 0.0000, 0.0000], [0.0000, 10.6079, 0.0000], [0.0000, 0.0000, 3.4782]], "species": ["Tb", "Tb", "Sm", "Sm", "Sm", "Sm", "Pa", "Pa", "Pa", "Pa", "Co", "Co", "Co", "Co", "Co", "Co", "Co", "Co", "Co", "Co"], "frac_coords": [[0.0000, 0.0000, 0.0000], [0.5000, 0.5000, 0.0000], [0.1733, 0.3267, 0.0000], [0.3267, 0.8267, 0.0000], [0.6733, 0.1733, 0.0000], [0.8267, 0.6733, 0.0000], [0.1339, 0.6339, 0.0000], [0.3661, 0.1339, 0.0000], [0.6339, 0.8661, 0.0000], [0.8661, 0.3661, 0.0000], [0.0000, 0.5000, 0.5000], [0.0413, 0.7749, 0.5000], [0.2251, 0.0413, 0.5000], [0.2749, 0.5413, 0.5000], [0.4587, 0.2749, 0.5000], [0.5000, 0.0000, 0.5000], [0.5413, 0.7251, 0.5000], [0.7251, 0.4587, 0.5000], [0.7749, 0.9587, 0.5000], [0.9587, 0.2251, 0.5000]]}

Entry 16:
{"formula": "TbSm2PaCo2", "functional": "PBE-GGA", "state": "relaxed", "vol_a3_per_atom": 24.7, "delta_e_f_ev_per_atom": -0.191, "cell": [[-3.4395, 6.3747, 3.3851], [3.4395, -6.3747, 3.3851], [3.4395, 6.3747, -3.3851]], "species": ["Tb", "Tb", "Sm", "Sm", "Sm", "Sm", "Pa", "Pa", "Co", "Co", "Co", "Co"], "frac_coords": [[0.2500, 0.2500, 0.0000], [0.7500, 0.7500, 0.0000], [0.2001, 0.7096, 0.9097], [0.2999, 0.2096, 0.5094], [0.7001, 0.7904, 0.4906], [0.7999, 0.2904, 0.0903], [0.2500, 0.7500, 0.5000], [0.7500, 0.2500, 0.5000], [0.0865, 0.2931, 0.3796], [0.4135, 0.7931, 0.2066], [0.5865, 0.2069, 0.7934], [0.9135, 0.7069, 0.6204]]}

Entry 17:
{"formula": "Sm2TmPaCo2", "functional": "PBE-GGA", "state": "relaxed", "vol_a3_per_atom": 24.3, "delta_e_f_ev_per_atom": -0.212, "cell": [[-3.3856, 6.3897, 3.3665], [3.3856, -6.3897, 3.3665], [3.3856, 6.3897, -3.3665]], "species": ["Sm", "Sm", "Sm", "Sm", "Tm", "Tm", "Pa", "Pa", "Co", "Co", "Co", "Co"], "frac_coords": [[0.1989, 0.2182, 0.4170], [0.3011, 0.7182, 0.0193], [0.6989, 0.2818, 0.9807], [0.8011, 0.7818, 0.5830], [0.2500, 0.7500, 0.5000], [0.7500, 0.2500, 0.5000], [0.2500, 0.2500, 0.0000], [0.7500, 0.7500, 0.0000], [0.0873, 0.7897, 0.8771], [0.4127, 0.2897, 0.7024], [0.5873, 0.7103, 0.2976], [0.9127, 0.2103, 0.1229]]}

Entry 18:
{"formula": "Sm2YPa2Co5", "functional": "PBE-GGA", "state": "relaxed", "vol_a3_per_atom": 19.6, "delta_e_f_ev_per_atom": -0.116, "cell": [[10.6113, 0.0000, 0.0000], [0.0000, 10.6113, 0.0000], [0.0000, 0.0000, 3.4786]], "species": ["Sm", "Sm", "Sm", "Sm", "Y", "Y", "Pa", "Pa", "Pa", "Pa", "Co", "Co", "Co", "Co", "Co", "Co", "Co", "Co", "Co", "Co"], "frac_coords": [[0.1733, 0.3267, 0.0000], [0.3267, 0.8267, 0.0000], [0.6733, 0.1733, 0.0000], [0.8267, 0.6733, 0.0000], [0.0000, 0.0000, 0.0000], [0.5000, 0.5000, 0.0000], [0.1339, 0.6339, 0.0000], [0.3661, 0.1339, 0.0000], [0.6339, 0.8661, 0.0000], [0.8661, 0.3661, 0.0000], [0.0000, 0.5000, 0.5000], [0.0404, 0.7736, 0.5000], [0.2264, 0.0404, 0.5000], [0.2736, 0.5404, 0.5000], [0.4596, 0.2736, 0.5000], [0.5000, 0.0000, 0.5000], [0.5404, 0.7264, 0.5000], [0.7264, 0.4596, 0.5000], [0.7736, 0.9596, 0.5000], [0.9596, 0.2264, 0.5000]]}

Entry 19:
{"formula": "Sm2YPaCo2", "functional": "PBE-GGA", "state": "relaxed", "vol_a3_per_atom": 24.8, "delta_e_f_ev_per_atom": -0.194, "cell": [[-3.4383, 6.3859, 3.3844], [3.4383, -6.3859, 3.3844], [3.4383, 6.3859, -3.3844]], "species": ["Sm", "Sm", "Sm", "Sm", "Y", "Y", "Pa", "Pa", "Co", "Co", "Co", "Co"], "frac_coords": [[0.2005, 0.2085, 0.4090], [0.2995, 0.7085, 0.0079], [0.7005, 0.2915, 0.9921], [0.7995, 0.7915, 0.5910], [0.2500, 0.7500, 0.5000], [0.7500, 0.2500, 0.5000], [0.2500, 0.2500, 0.0000], [0.7500, 0.7500, 0.0000], [0.0870, 0.7946, 0.8816], [0.4130, 0.2946, 0.7076], [0.5870, 0.7054, 0.2924], [0.9130, 0.2054, 0.1184]]}

Entry 20:
{"formula": "PaCo2Sn", "functional": "PBE-GGA", "state": "relaxed", "vol_a3_per_atom": 17.3, "delta_e_f_ev_per_atom": -0.351, "cell": [[4.3643, 0.0000, 0.0000], [-2.1821, 3.7796, 0.0000], [0.0000, 0.0000, 8.3768]], "species": ["Pa", "Pa", "Co", "Co", "Co", "Co", "Sn", "Sn"], "frac_coords": [[0.3333, 0.6667, 0.2500], [0.6667, 0.3333, 0.7500], [0.3333, 0.6667, 0.5842], [0.3333, 0.6667, 0.9158], [0.6667, 0.3333, 0.0842], [0.6667, 0.3333, 0.4158], [0.0000, 0.0000, 0.0000], [0.0000, 0.0000, 0.5000]]}

Entry 21:
{"formula": "PaCo2Sn", "functional": "PBE-GGA", "state": "relaxed", "vol_a3_per_atom": 16.9, "delta_e_f_ev_per_atom": -0.143, "cell": [[4.5611, 0.0000, 0.0000], [0.0000, 4.5611, 0.0000], [0.0000, 0.0000, 3.2556]], "species": ["Pa", "Co", "Co", "Sn"], "frac_coords": [[0.0000, 0.0000, 0.0000], [0.0000, 0.5000, 0.5000], [0.5000, 0.0000, 0.5000], [0.5000, 0.5000, 0.0000]]}

Entry 22:
{"formula": "PaCo2Sn", "functional": "PBE-GGA", "state": "relaxed", "vol_a3_per_atom": 18.0, "delta_e_f_ev_per_atom": -0.066, "cell": [[3.3427, 0.0000, 0.0000], [0.0000, 3.3427, 0.0000], [0.0000, 0.0000, 6.4420]], "species": ["Pa", "Co", "Co", "Sn"], "frac_coords": [[0.0000, 0.0000, 0.0000], [0.5000, 0.5000, 0.2098], [0.5000, 0.5000, 0.7902], [0.0000, 0.0000, 0.5000]]}